[1]
KSrZnBi after structural relaxation, computed with PBE.

Cell and atoms, written as POSCAR:
```
KSrZnBi
1.0
0.000 4.095 4.095
4.095 0.000 4.095
4.095 4.095 0.000
K Sr Zn Bi
1 1 1 1
direct
0.000 0.000 0.000 K
0.500 0.500 0.500 Sr
0.750 0.750 0.750 Zn
0.250 0.250 0.250 Bi
```

## Properties
- formation energy (meV/atom) = -387
- space-group type = F-43m



[2]
KTaBi2 after structural relaxation, computed with PBE.

Cell and atoms, written as POSCAR:
```
KTaBi2
1.0
-3.874 3.874 6.199
3.874 -3.874 6.199
3.874 3.874 -6.199
K Ta Bi
2 2 4
direct
0.000 0.000 0.000 K
0.750 0.250 0.500 K
0.250 0.750 0.500 Ta
0.500 0.500 0.000 Ta
0.231 0.625 0.106 Bi
0.375 0.481 0.606 Bi
0.519 0.125 0.894 Bi
0.875 0.769 0.394 Bi
```

## Properties
- formation energy (meV/atom) = 417
- space-group type = I-42d
- polymorph energy (0 for the lowest one) (meV/atom) = 0



[3]
KTaBi3 after structural relaxation, computed with PBE.

Cell and atoms, written as POSCAR:
```
KTaBi3
1.0
5.607 0.000 0.000
0.000 5.607 0.000
0.000 0.000 5.607
K Ta Bi
1 1 3
direct
0.000 0.000 0.000 K
0.500 0.500 0.500 Ta
0.000 0.500 0.500 Bi
0.500 0.000 0.500 Bi
0.500 0.500 0.000 Bi
```

## Properties
- formation energy (meV/atom) = 181
- space-group type = Pm-3m
- polymorph energy (0 for the lowest one) (meV/atom) = 0



[4]
KTa3Bi after structural relaxation, computed with PBE.

Cell and atoms, written as POSCAR:
```
KTa3Bi
1.0
4.800 0.000 0.000
0.000 4.800 0.000
0.000 0.000 4.800
K Ta Bi
1 3 1
direct
0.000 0.000 0.000 K
0.000 0.000 0.500 Ta
0.000 0.500 0.000 Ta
0.500 0.000 0.000 Ta
0.500 0.500 0.500 Bi
```

## Properties
- formation energy (meV/atom) = 2830
- space-group type = Pm-3m
- polymorph energy (0 for the lowest one) (meV/atom) = 516